one.
RhWI3: relaxed, GGA-PBE.

Cell lengths 5.3614, 5.3614, 5.3614 Å; angles 90.00, 90.00, 90.00 degrees
Fractional coordinates of all 5 atoms:
I  0.0000  0.5000  0.0000
I  0.0000  0.0000  0.5000
I  0.5000  0.0000  0.0000
W  0.5000  0.5000  0.5000
Rh  0.0000  0.0000  0.0000

Calculated values
N(E_F) in states/eV per atom: 1.014
Space group: Pm-3m, No. 221

---

two.
RhWI3: relaxed, GGA-PBE.

Cell lengths 5.4062, 5.4062, 5.4062 Å; angles 90.00, 90.00, 90.00 degrees
Fractional coordinates of all 5 atoms:
W  0.0000  0.0000  0.0000
I  0.0000  0.0000  0.5000
I  0.5000  0.0000  0.0000
I  0.0000  0.5000  0.0000
Rh  0.5000  0.5000  0.5000

Calculated values
N(E_F) in states/eV per atom: 2.125
Space group: Pm-3m, No. 221

---

Most stable structure - one; separation to the second - 84 meV/atom.